(1)
This record from Alexandria via LeMat-Bulk describes an optimized crystal structure of Tm2ScIn. The functional is PBE.

a = 5.289 Å, b = 5.289 Å, c = 5.289 Å
α = 60.00°, β = 60.00°, γ = 60.00°
Site moments in Bohr magnetons follow the coordinates.
Element x y z (fractional)
In1 0.500 0.500 0.500  -0.01
Tm1 0.750 0.750 0.750  0.10
Tm2 0.250 0.250 0.250  0.10
Sc1 0.000 0.000 0.000  0.18

Space-group type ... No. 225
Energy relative to the elements ... -0.140 eV/atom
Volume ... 26.16 Å³/atom
Energy above the most stable polymorph in this dataset ... 113 meV/atom

=====

(2)
This record from Alexandria via LeMat-Bulk describes an optimized crystal structure of Tm3ScIn. The functional is PBE.

a = 4.691 Å, b = 4.703 Å, c = 12.349 Å
α = 90.00°, β = 79.05°, γ = 90.00°
Element x y z (fractional)
In1 0.672 0.750 0.303
Tm1 0.273 0.750 0.102
Sc1 0.173 0.250 0.302
Tm2 0.574 0.250 0.500
Tm3 0.770 0.250 0.109
Sc2 0.475 0.750 0.698
Tm4 0.878 0.750 0.891
In2 0.976 0.250 0.697
Tm5 0.074 0.750 0.500
Tm6 0.375 0.250 0.898

Space-group type ... No. 63
Energy relative to the elements ... -0.175 eV/atom
Volume ... 26.75 Å³/atom
Energy above the most stable polymorph in this dataset ... 0 meV/atom

=====

(3)
This record from Alexandria via LeMat-Bulk describes an optimized crystal structure of Tm2Sc5In4. The functional is PBE.

a = 3.199 Å, b = 8.165 Å, c = 10.313 Å
α = 84.18°, β = 90.00°, γ = 90.00°
Site moments in Bohr magnetons follow the coordinates.
Element x y z (fractional)
Sc1 0.000 0.815 0.157  0.27
Sc2 0.000 0.185 0.843  0.27
Tm1 0.000 0.920 0.643  0.07
In1 0.500 0.268 0.568  0.00
In2 0.500 0.185 0.104  0.00
In3 0.500 0.815 0.896  0.00
Sc3 0.000 0.456 0.316  0.24
Sc4 0.000 0.500 0.000  0.30
Tm2 0.000 0.080 0.357  0.07
In4 0.500 0.732 0.432  0.00
Sc5 0.000 0.544 0.684  0.24

Space-group type ... No. 10
Energy relative to the elements ... -0.190 eV/atom
Volume ... 24.37 Å³/atom

=====

(4)
This record from Alexandria via LeMat-Bulk describes an optimized crystal structure of TmSc5In6. The functional is PBE.

a = 4.600 Å, b = 8.470 Å, c = 8.470 Å
α = 108.91°, β = 105.78°, γ = 105.78°
Site moments in Bohr magnetons follow the coordinates.
Element x y z (fractional)
Sc1 0.500 0.500 0.500  0.27
In1 0.754 0.254 0.254  -0.01
In2 0.246 0.746 0.746  -0.01
In3 0.252 0.084 0.420  -0.01
Tm1 0.000 0.000 0.000  0.22
In4 0.748 0.580 0.916  -0.01
Sc2 0.500 0.831 0.169  0.28
In5 0.748 0.916 0.580  -0.01
Sc3 0.500 0.169 0.831  0.28
Sc4 0.000 0.667 0.333  0.28
Sc5 0.000 0.333 0.667  0.28
In6 0.252 0.420 0.084  -0.01

Space-group type ... No. 71
Energy relative to the elements ... -0.428 eV/atom
Volume ... 23.00 Å³/atom